# 1
This record from Alexandria describes an optimized crystal structure of SrPr2Y. The functional is PBE.

Cell and atoms, written as CIF:
```
data_SrPr2Y
_symmetry_space_group_name_H-M 'P 4/m m m'
_symmetry_Int_Tables_number 123
_symmetry_space_group_name_Hall '-P 4 2'
_cell_length_a 5.337
_cell_length_b 5.337
_cell_length_c 5.311
_cell_angle_alpha 90.00
_cell_angle_beta 90.00
_cell_angle_gamma 90.00
loop_
_atom_site_label
_atom_site_type_symbol
_atom_site_fract_x
_atom_site_fract_y
_atom_site_fract_z
Sr1 Sr 0.000 0.000 0.000
Pr1 Pr 0.000 0.500 0.500
Y1 Y 0.500 0.500 0.000
```

Results
DFT formation energy: 0.152 eV/atom

# 2
This record from Alexandria describes an optimized crystal structure of SrTaCr2. The functional is PBE.

Cell and atoms, written as CIF:
```
data_SrTaCr2
_symmetry_space_group_name_H-M 'C 1 m 1'
_symmetry_Int_Tables_number 8
_cell_length_a 9.430
_cell_length_b 3.157
_cell_length_c 5.880
_cell_angle_alpha 90.00
_cell_angle_beta 105.30
_cell_angle_gamma 90.00
loop_
_symmetry_equiv_pos_as_xyz
'x,y,z'
'x,-y,z'
'x+1/2,y+1/2,z'
'x+1/2,-y+1/2,z'
loop_
_atom_site_label
_atom_site_type_symbol
_atom_site_fract_x
_atom_site_fract_y
_atom_site_fract_z
Sr1 Sr 0.000 0.000 0.000
Ta1 Ta 0.198 0.000 0.607
Cr1 Cr 0.297 0.500 0.357
Cr2 Cr 0.469 0.000 0.486
```

Results
DFT formation energy: 0.827 eV/atom

# 3
This record from Alexandria describes an optimized crystal structure of Y2HoIrO8. The functional is PBE.

Cell and atoms, written as CIF:
```
data_Y2HoIrO8
_symmetry_space_group_name_H-M 'P 1 2/m 1'
_symmetry_Int_Tables_number 10
_cell_length_a 5.042
_cell_length_b 6.772
_cell_length_c 5.046
_cell_angle_alpha 90.00
_cell_angle_beta 90.72
_cell_angle_gamma 90.00
loop_
_symmetry_equiv_pos_as_xyz
'x,y,z'
'-x,-y,-z'
'-x,y,-z'
'x,-y,z'
loop_
_atom_site_label
_atom_site_type_symbol
_atom_site_fract_x
_atom_site_fract_y
_atom_site_fract_z
Y1 Y 0.000 0.248 0.000
Ho1 Ho 0.500 0.000 0.500
Ir1 Ir 0.500 0.500 0.500
O1 O 0.195 0.000 0.194
O2 O 0.232 0.500 0.230
O3 O 0.317 0.288 0.682
```

Results
Formation energy without anion corrections: -2.35 eV/atom

# 4
This record from Alexandria describes an optimized crystal structure of VSi2Tc. The functional is PBE.

Cell and atoms, written as CIF:
```
data_VSi2Tc
_symmetry_space_group_name_H-M 'I -4 2 d'
_symmetry_Int_Tables_number 122
_symmetry_space_group_name_Hall 'I -4 2bw'
_cell_length_a 3.627
_cell_length_b 3.627
_cell_length_c 17.621
_cell_angle_alpha 90.00
_cell_angle_beta 90.00
_cell_angle_gamma 90.00
loop_
_atom_site_label
_atom_site_type_symbol
_atom_site_fract_x
_atom_site_fract_y
_atom_site_fract_z
V1 V 0.000 0.000 0.000
Si1 Si 0.243 0.250 0.125
Tc1 Tc 0.000 0.000 0.500
```

Results
Formation energy without anion corrections: 0.07 eV/atom

Number 1: V 37.815 Å³ per atom. Number 2: V 21.106 Å³ per atom. Number 3: V 14.356 Å³ per atom. Number 4: V 14.491 Å³ per atom.